# RbMgBe2F8 (PBE, optimized geometry)
data_RbMgBe2F8
_chemical_formula_sum 'Rb1 Mg1 Be2 F8'
_space_group_name_H-M_alt 'P 1'
_space_group_IT_number 1
_cell_length_a 5.108
_cell_length_b 5.108
_cell_length_c 8.028
_cell_angle_alpha 71.45
_cell_angle_beta 71.45
_cell_angle_gamma 60.00
loop_
_space_group_symop_operation_xyz
'x,y,z'
loop_
_atom_site_label
_atom_site_type_symbol
_atom_site_fract_x
_atom_site_fract_y
_atom_site_fract_z
F1 F 0.778 0.975 0.845
F2 F 0.191 0.191 0.426
F3 F 0.597 0.222 0.155
F4 F 0.403 0.778 0.845
F5 F 0.025 0.597 0.155
F6 F 0.222 0.025 0.155
F7 F 0.975 0.403 0.845
F8 F 0.809 0.809 0.574
Be1 Be 0.261 0.261 0.216
Be2 Be 0.739 0.739 0.784
Rb1 Rb 0.500 0.500 0.500
Mg1 Mg 0.000 0.000 0.000
# space-group type: R-3, No. 148
# calculated volume: 169 Å³ per cell
# E_form (uncorrected): -287.6 kJ/mol of atoms
# crystal system: trigonal
# VASP energy: -60.75 eV for the cell shown
# density of states at the Fermi level: 1.123 states/eV/atom